# Pr6Ir2Se3Cl (GGA-PBE, optimized geometry)
# E_form (uncorrected): -1.38 eV per atom
data_Pr6Ir2Se3Cl
_chemical_formula_sum 'Pr6 Ir2 Se3 Cl1'
_space_group_name_H-M_alt 'P 1'
_space_group_IT_number 1
_space_group_name_Hall 'P 1'
_cell_length_a 9.6359
_cell_length_b 9.6359
_cell_length_c 8.7785
_cell_angle_alpha 104.88
_cell_angle_beta 104.88
_cell_angle_gamma 24.92
loop_
_atom_site_label
_atom_site_fract_x
_atom_site_fract_y
_atom_site_fract_z
_atom_site_occupancy
Pr1 0.0110 0.0110 0.2691 1
Pr2 0.3252 0.3252 0.8849 1
Pr3 0.3287 0.3287 0.4260 1
Pr4 0.6713 0.6713 0.5740 1
Pr5 0.6748 0.6748 0.1151 1
Pr6 0.9890 0.9890 0.7309 1
Ir1 0.1674 0.1674 0.3355 1
Ir2 0.8326 0.8326 0.6645 1
Se1 0.1578 0.1578 0.8417 1
Se2 0.5000 0.5000 0.5000 1
Se3 0.8422 0.8422 0.1583 1
Cl1 0.5000 0.5000 0.0000 1